Record 1
Computed, not measured: an optimized crystal structure of BaTc4Pb at the GGA-PBE level of DFT.

a = 5.5214 Å, b = 5.5214 Å, c = 5.5214 Å
α = 60.00°, β = 60.00°, γ = 60.00°
Last column: nearest neighbours and their distance in Å.
Fractional coordinates of all 6 atoms:
Ba (0.7500, 0.7500, 0.7500)  12 Tc 3.24, 4 Pb 3.38
Tc (0.8831, 0.3723, 0.3723)  6 Tc 2.70-2.82
Tc (0.3723, 0.3723, 0.8831)  6 Tc 2.70-2.82
Tc (0.3723, 0.8831, 0.3723)  6 Tc 2.70-2.82
Tc (0.3723, 0.3723, 0.3723)  6 Tc 2.70-2.82
Pb (0.0000, 0.0000, 0.0000)  12 Tc 3.23, 4 Ba 3.38

E_form ... 0.748 eV/atom
Spin magnetization ... 0.00 μB/cell
DFT total energy ... -7.1013 eV per atom

---

Record 2
Computed, not measured: an optimized crystal structure of NpPaSn at the GGA-PBE level of DFT.

a = 3.1613 Å, b = 5.0854 Å, c = 5.0854 Å
α = 120.00°, β = 90.00°, γ = 90.00°
Last column: nearest neighbours and their distance in Å.
Fractional coordinates of all 3 atoms:
Np (0.1669, 0.3333, 0.6667)  3 Pa 2.94, 2 Np 3.16
Pa (0.1666, 0.0000, 0.0000)  3 Np 2.94, 2 Pa 3.16
Sn (0.6665, 0.6667, 0.3333)  2 Sn 3.16, 6 Np 3.33-3.34, 6 Pa 3.33

E_form ... 0.120 eV/atom
Spin magnetization ... 4.70 μB/cell
Excess energy over the best structure of this formula in the dataset ... 11.7 kJ per mole of atoms
DFT total energy ... -8.6935 eV per atom